[1]
The following is a PBE calculation of a relaxed structure of CsCaLa2Os, from Alexandria.

Cell lengths 5.6696, 5.6696, 6.1466 Å; angles 90.00, 90.00, 90.00 degrees
Fractional coordinates of all 5 atoms:
Cs  0.0000  0.0000  0.0000
Ca  0.5000  0.5000  0.0000
La  0.0000  0.5000  0.5000
La  0.5000  0.0000  0.5000
Os  0.5000  0.5000  0.5000

Space group = No. 123
Uncorrected energy = -4.64 eV/atom

---

[2]
The following is a PBE calculation of a relaxed structure of RbNaNp4N8, from Alexandria.

Cell lengths 7.8977, 7.8977, 7.8977 Å; angles 52.06, 52.06, 52.06 degrees
Fractional coordinates of all 14 atoms:
Rb  0.0000  0.0000  0.0000
Na  0.6244  0.6244  0.6244
Np  0.1546  0.6529  0.6529
Np  0.1699  0.1699  0.1699
Np  0.6529  0.1546  0.6529
Np  0.6529  0.6529  0.1546
N  0.3811  0.3811  0.8549
N  0.3811  0.8549  0.3811
N  0.4356  0.9531  0.9531
N  0.4435  0.4435  0.4435
N  0.8549  0.3811  0.3811
N  0.8637  0.8637  0.8637
N  0.9531  0.4356  0.9531
N  0.9531  0.9531  0.4356

Space group = No. 160
Uncorrected energy = -9.40 eV/atom
Uncorrected formation energy = -0.7848 eV/atom

---

Number 1: ρ 5.39 g/cm³, D(E_F) 1.013 states/eV per atom. Number 2: ρ 6.85 g/cm³, D(E_F) 1.516 states/eV per atom.